(1)
## TaBeBr2 (PBE)

Data for crystalline TaBeBr2 at its relaxed geometry.

Energy above the most stable polymorph in this dataset   0.160 eV per atom
SG   Cmm2

Unit cell a=3.371 b=3.371 c=9.943 alpha=90.00 beta=90.00 gamma=123.44
Element x y z (fractional)
Ta (0.000, 0.000, 0.000)
Be (0.500, 0.500, 0.791)
Br (0.000, 0.000, 0.643)
Br (0.500, 0.500, 0.208)

---

(2)
## Ta2BeBr (PBE)

Data for crystalline Ta2BeBr at its relaxed geometry.

Energy above the most stable polymorph in this dataset   0.165 eV per atom
SG   R3m

Unit cell a=9.258 b=9.258 c=9.258 alpha=19.19 beta=19.19 gamma=19.19
Element x y z (fractional)
Ta (0.000, 0.000, 0.000)
Ta (0.243, 0.243, 0.243)
Be (0.734, 0.734, 0.734)
Br (0.505, 0.505, 0.505)

---

(3)
## TaBeBr (PBE)

Data for crystalline TaBeBr at its relaxed geometry.

Energy above the most stable polymorph in this dataset   0.062 eV per atom
SG   I4mm

Unit cell a=7.421 b=7.421 c=7.421 alpha=156.65 beta=156.65 gamma=33.26
Element x y z (fractional)
Ta (0.000, 0.000, 0.000)
Be (0.604, 0.604, 0.000)
Br (0.367, 0.367, 0.000)

---

(4)
## TaBeBr2 (PBE)

Data for crystalline TaBeBr2 at its relaxed geometry.

Energy above the most stable polymorph in this dataset   0.939 eV per atom
SG   Fm-3m

Unit cell a=4.599 b=4.599 c=4.599 alpha=60.00 beta=60.00 gamma=60.00
Element x y z (fractional)
Ta (0.000, 0.000, 0.000)
Be (0.500, 0.500, 0.500)
Br (0.250, 0.250, 0.250)
Br (0.750, 0.750, 0.750)

---

(5)
## TaBe2Br (PBE)

Data for crystalline TaBe2Br at its relaxed geometry.

Energy above the most stable polymorph in this dataset   0.355 eV per atom
SG   P4/mmm

Unit cell a=4.442 b=4.442 c=2.991 alpha=90.00 beta=90.00 gamma=90.00
Element x y z (fractional)
Ta (0.000, 0.000, 0.000)
Be (0.000, 0.500, 0.500)
Be (0.500, 0.000, 0.500)
Br (0.500, 0.500, 0.000)

---

(6)
## TaBeBr (PBE)

Data for crystalline TaBeBr at its relaxed geometry.

Energy above the most stable polymorph in this dataset   0.000 eV per atom
SG   P3m1

Unit cell a=3.152 b=3.152 c=6.668 alpha=90.00 beta=90.00 gamma=120.00
Element x y z (fractional)
Ta (0.000, 0.000, 0.000)
Be (0.333, 0.667, 0.269)
Br (0.667, 0.333, 0.711)

---

(7)
## TaBe2Br (PBE)

Data for crystalline TaBe2Br at its relaxed geometry.

Energy above the most stable polymorph in this dataset   0.087 eV per atom
SG   P4/mmm

Unit cell a=3.313 b=3.313 c=5.835 alpha=90.00 beta=90.00 gamma=90.00
Element x y z (fractional)
Ta (0.000, 0.000, 0.000)
Be (0.500, 0.500, 0.171)
Be (0.500, 0.500, 0.829)
Br (0.000, 0.000, 0.500)

---

(8)
## TaBeBr2 (PBE)

Data for crystalline TaBeBr2 at its relaxed geometry.

Energy above the most stable polymorph in this dataset   0.512 eV per atom
SG   R-3m

Unit cell a=10.269 b=10.269 c=10.269 alpha=18.01 beta=18.01 gamma=18.01
Element x y z (fractional)
Ta (0.000, 0.000, 0.000)
Be (0.500, 0.500, 0.500)
Br (0.270, 0.270, 0.270)
Br (0.730, 0.730, 0.730)

---

| no. | total magnetic moment (μB per cell) | ΔE_f (raw) (eV/atom) |
| --- | --- | --- |
| 1 | 0.000 | 0.05 |
| 2 | 0.000 | 0.37 |
| 3 | 0.000 | 0.39 |
| 4 | 0.000 | 0.83 |
| 5 | 0.000 | 0.73 |
| 6 | 0.000 | 0.33 |
| 7 | 0.000 | 0.46 |
| 8 | 0.000 | 0.40 |